This record from the Alexandria database describes an optimized crystal structure of Sr2LiZn2Cu. The functional is PBE.

Geometry as CIF:
```
data_Sr2LiZn2Cu
_symmetry_space_group_name_H-M 'C 1 2/m 1'
_symmetry_Int_Tables_number 12
_cell_length_a 15.7575
_cell_length_b 6.5629
_cell_length_c 6.5467
_cell_angle_alpha 90.00
_cell_angle_beta 114.50
_cell_angle_gamma 90.00
loop_
_symmetry_equiv_pos_as_xyz
'x,y,z'
'-x,-y,-z'
'-x,y,-z'
'x,-y,z'
'x+1/2,y+1/2,z'
'-x+1/2,-y+1/2,-z'
'-x+1/2,y+1/2,-z'
'x+1/2,-y+1/2,z'
loop_
_atom_site_label
_atom_site_type_symbol
_atom_site_fract_x
_atom_site_fract_y
_atom_site_fract_z
Sr1 Sr 0.1610 0.0000 0.4056
Sr2 Sr 0.1611 0.5000 0.9165
Li1 Li 0.0000 0.2501 0.5000
Zn1 Zn 0.0861 0.0000 0.8536
Zn2 Zn 0.0865 0.5000 0.3191
Cu1 Cu 0.0000 0.2507 0.0000
```

E_form ... -0.137 eV per atom
Density of states at the Fermi level ... 0.552 states/eV/atom
V ... 25.670 Å³/atom

***

This record from the Alexandria database describes an optimized crystal structure of Hf2TcC. The functional is PBE.

Geometry as CIF:
```
data_Hf2TcC
_symmetry_space_group_name_H-M 'R -3 m'
_symmetry_Int_Tables_number 166
_symmetry_space_group_name_Hall '-R 3 2"'
_cell_length_a 3.1592
_cell_length_b 3.1592
_cell_length_c 23.1771
_cell_angle_alpha 90.00
_cell_angle_beta 90.00
_cell_angle_gamma 120.00
loop_
_atom_site_label
_atom_site_type_symbol
_atom_site_fract_x
_atom_site_fract_y
_atom_site_fract_z
Hf1 Hf 0.0000 0.0000 0.1105
Tc1 Tc 0.0000 0.0000 0.0000
C1 C 0.0000 0.0000 0.5000
```

E_form ... -0.037 eV per atom
Density of states at the Fermi level ... 0.604 states/eV/atom
V ... 16.694 Å³/atom

***

This record from the Alexandria database describes an optimized crystal structure of MnReAg2. The functional is PBE.

Geometry as CIF:
```
data_MnReAg2
_symmetry_space_group_name_H-M 'I -4 2 d'
_symmetry_Int_Tables_number 122
_symmetry_space_group_name_Hall 'I -4 2bw'
_cell_length_a 7.3310
_cell_length_b 7.3310
_cell_length_c 5.2334
_cell_angle_alpha 90.00
_cell_angle_beta 90.00
_cell_angle_gamma 90.00
loop_
_atom_site_label
_atom_site_type_symbol
_atom_site_fract_x
_atom_site_fract_y
_atom_site_fract_z
Mn1 Mn 0.0000 0.0000 0.0000
Re1 Re 0.0000 0.0000 0.5000
Ag1 Ag 0.2426 0.2500 0.1250
```

E_form ... 1.153 eV per atom
Density of states at the Fermi level ... 0.794 states/eV/atom
V ... 17.579 Å³/atom

***

This record from the Alexandria database describes an optimized crystal structure of PrMgSc2. The functional is PBE.

Geometry as CIF:
```
data_PrMgSc2
_symmetry_space_group_name_H-M 'F m -3 m'
_symmetry_Int_Tables_number 225
_symmetry_space_group_name_Hall '-F 4 2 3'
_cell_length_a 7.5346
_cell_length_b 7.5346
_cell_length_c 7.5346
_cell_angle_alpha 90.00
_cell_angle_beta 90.00
_cell_angle_gamma 90.00
loop_
_atom_site_label
_atom_site_type_symbol
_atom_site_fract_x
_atom_site_fract_y
_atom_site_fract_z
Pr1 Pr 0.0000 0.0000 0.0000
Mg1 Mg 0.0000 0.0000 0.5000
Sc1 Sc 0.2500 0.2500 0.2500
```

E_form ... 0.129 eV per atom
Density of states at the Fermi level ... 1.900 states/eV/atom
V ... 26.734 Å³/atom

***

This record from the Alexandria database describes an optimized crystal structure of Ca2TlPd3. The functional is PBE.

Geometry as CIF:
```
data_Ca2TlPd3
_symmetry_space_group_name_H-M 'I m m m'
_symmetry_Int_Tables_number 71
_symmetry_space_group_name_Hall '-I 2 2'
_cell_length_a 4.9366
_cell_length_b 5.6320
_cell_length_c 9.7257
_cell_angle_alpha 90.00
_cell_angle_beta 90.00
_cell_angle_gamma 90.00
loop_
_atom_site_label
_atom_site_type_symbol
_atom_site_fract_x
_atom_site_fract_y
_atom_site_fract_z
Ca1 Ca 0.0000 0.0000 0.1778
Tl1 Tl 0.0000 0.0000 0.5000
Pd1 Pd 0.0000 0.5000 0.1444
Pd2 Pd 0.0000 0.5000 0.5000
```

E_form ... -0.381 eV per atom
Density of states at the Fermi level ... 0.391 states/eV/atom
V ... 22.534 Å³/atom

***

This record from the Alexandria database describes an optimized crystal structure of SiHgAs2. The functional is PBE.

Geometry as CIF:
```
data_SiHgAs2
_symmetry_space_group_name_H-M 'I m m m'
_symmetry_Int_Tables_number 71
_symmetry_space_group_name_Hall '-I 2 2'
_cell_length_a 3.4002
_cell_length_b 4.7054
_cell_length_c 10.1645
_cell_angle_alpha 90.00
_cell_angle_beta 90.00
_cell_angle_gamma 90.00
loop_
_atom_site_label
_atom_site_type_symbol
_atom_site_fract_x
_atom_site_fract_y
_atom_site_fract_z
Si1 Si 0.0000 0.0000 0.0000
Hg1 Hg 0.0000 0.0000 0.5000
As1 As 0.0000 0.5000 0.3096
```

Uncorrected formation energy ... 393 meV/atom
Density of states at the Fermi level ... 0.432 states/eV/atom
V ... 20.328 Å³/atom

***

This record from the Alexandria database describes an optimized crystal structure of Ba3Sc5F12. The functional is PBE.

Geometry as CIF:
```
data_Ba3Sc5F12
_symmetry_space_group_name_H-M 'I a -3 d'
_symmetry_Int_Tables_number 230
_symmetry_space_group_name_Hall '-I 4bd 2c 3'
_cell_length_a 14.2890
_cell_length_b 14.2890
_cell_length_c 14.2890
_cell_angle_alpha 90.00
_cell_angle_beta 90.00
_cell_angle_gamma 90.00
loop_
_atom_site_label
_atom_site_type_symbol
_atom_site_fract_x
_atom_site_fract_y
_atom_site_fract_z
Ba1 Ba 0.0000 0.2500 0.1250
Sc1 Sc 0.0000 0.0000 0.0000
Sc2 Sc 0.0000 0.2500 0.3750
F1 F 0.0221 0.0566 0.6364
```

Uncorrected formation energy ... -2907 meV/atom
Density of states at the Fermi level ... 0.581 states/eV/atom
V ... 18.234 Å³/atom